Ce2Pr2CoBi2 | PBE | optimized geometry

a b c (Å): 4.8582 4.8582 9.5417
angles (deg): 104.75 104.75 90.00
Closest atoms and distances in Å follow each position.
Atoms (fractional coordinates):
Ce  0.0000  0.5000  0.0000  2 Co 2.43
Ce  0.5000  0.0000  0.0000  2 Co 2.43
Pr  0.1712  0.1712  0.3424  1 Co 3.05, 1 Bi 3.36
Pr  0.8288  0.8288  0.6576  1 Co 3.05, 1 Bi 3.36
Co  0.0000  0.0000  0.0000  4 Ce 2.43
Bi  0.3599  0.3599  0.7197  5 Pr 3.36-3.48, 4 Ce 3.48
Bi  0.6401  0.6401  0.2803  5 Pr 3.36-3.48, 4 Ce 3.48

Values from the calculation:
* energy of formation from the pure elements: -0.65 eV per atom

***

Ce2Sm2CoBi2 | PBE | optimized geometry

a b c (Å): 4.8360 4.8360 9.4078
angles (deg): 104.89 104.89 90.00
Closest atoms and distances in Å follow each position.
Atoms (fractional coordinates):
Ce  0.0000  0.5000  0.0000  2 Co 2.42
Ce  0.5000  0.0000  0.0000  2 Co 2.42
Sm  0.1698  0.1698  0.3396  1 Co 2.98, 1 Bi 3.28
Sm  0.8302  0.8302  0.6604  1 Co 2.98, 1 Bi 3.28
Co  0.0000  0.0000  0.0000  4 Ce 2.42
Bi  0.3567  0.3567  0.7134  5 Sm 3.28-3.45, 4 Ce 3.49
Bi  0.6433  0.6433  0.2866  5 Sm 3.28-3.45, 4 Ce 3.49

Values from the calculation:
* energy of formation from the pure elements: -0.62 eV per atom

***

Ce3CrBi | PBE | optimized geometry

a b c (Å): 5.0962 5.0962 5.0962
angles (deg): 90.00 90.00 90.00
Closest atoms and distances in Å follow each position.
Atoms (fractional coordinates):
Cr  0.0000  0.0000  0.0000  6 Ce 2.55
Bi  0.5000  0.5000  0.5000  12 Ce 3.60
Ce  0.0000  0.5000  0.0000  2 Cr 2.55
Ce  0.0000  0.0000  0.5000  2 Cr 2.55
Ce  0.5000  0.0000  0.0000  2 Cr 2.55

Values from the calculation:
* energy of formation from the pure elements: -0.19 eV per atom

***

CsCe2Bi3 | PBE | optimized geometry

a b c (Å): 6.0230 8.1440 11.9327
angles (deg): 90.00 90.00 111.70
Closest atoms and distances in Å follow each position.
Atoms (fractional coordinates):
Cs  0.2184  0.4368  0.2500  1 Ce 3.90, 4 Bi 4.27-4.29
Cs  0.7816  0.5632  0.7500  1 Ce 3.90, 4 Bi 4.27-4.29
Ce  0.0000  0.0000  0.0000  6 Bi 3.22-3.39
Ce  0.0000  0.0000  0.5000  6 Bi 3.22-3.39
Ce  0.4764  0.9527  0.2500  6 Bi 3.13-3.48
Ce  0.5236  0.0473  0.7500  6 Bi 3.13-3.48
Bi  0.6009  0.2018  0.0247  1 Bi 3.11, 4 Ce 3.28-3.48
Bi  0.0796  0.1592  0.7500  4 Ce 3.13-3.22
Bi  0.6009  0.2018  0.4753  1 Bi 3.11, 4 Ce 3.28-3.48
Bi  0.9204  0.8408  0.2500  4 Ce 3.13-3.22
Bi  0.3991  0.7982  0.9753  1 Bi 3.11, 4 Ce 3.28-3.48
Bi  0.3991  0.7982  0.5247  1 Bi 3.11, 4 Ce 3.28-3.48

Values from the calculation:
* energy of formation from the pure elements: -0.47 eV per atom

***

- Among the records above, which one has the lowest energy of formation from the pure elements?
  Ce2Pr2CoBi2

***

- The highest energy of formation from the pure elements belongs to which entry?
  Ce3CrBi

***

- Among the records above, which one has the highest energy of formation from the pure elements?
  Ce3CrBi